Record 1
12
Lattice="-3.955 3.955 3.629 3.955 -3.955 3.629 3.955 3.955 -3.629" Properties=species:S:1:pos:R:3 comment="BaLiW2O8 PBE with a Hubbard U optimized geometry" density_g_cm3=4.7 spacegroup=I-4m2 total_energy_ev_per_atom=-6.76 pbc="T T T"
Ba 0.000 0.000 0.000
Li 0.000 3.955 1.815
W 3.955 0.000 1.815
W 0.000 0.000 3.629
O 2.513 0.000 0.719
O 5.397 0.000 0.719
O 3.955 2.488 -1.086
O 3.955 -1.442 2.910
O 0.000 1.467 2.543
O 3.955 1.442 2.910
O 2.488 3.955 1.086
O 1.467 0.000 4.716

---

Record 2
12
Lattice="-2.058 8.951 2.031 2.058 -8.951 2.031 2.058 8.951 -2.031" Properties=species:S:1:pos:R:3 comment="BaLi2W2O7 PBE with a Hubbard U optimized geometry" density_g_cm3=7.0 spacegroup=Imm2 total_energy_ev_per_atom=-6.80 pbc="T T T"
Ba 0.000 0.000 0.000
Li 2.058 4.611 0.082
Li 0.000 4.340 2.112
W 0.000 6.849 0.005
W 0.000 11.053 0.005
O 2.058 1.932 0.043
O 0.000 4.983 0.119
O 2.058 6.953 0.018
O 0.000 8.951 0.021
O 0.000 1.998 2.049
O 0.000 12.919 0.119
O 0.000 7.019 2.073

---

Record 3
11
Lattice="5.792 0.000 0.000 -2.896 5.016 0.000 0.000 0.000 7.301" Properties=species:S:1:pos:R:3 comment="Ba2Li2WO6 PBE with a Hubbard U optimized geometry" density_g_cm3=4.4 spacegroup=P-3 total_energy_ev_per_atom=-6.34 pbc="T T T"
Ba 0.000 3.344 1.157
Ba 2.896 1.672 6.143
Li 0.000 3.344 5.543
Li 2.896 1.672 1.758
W 0.000 0.000 0.000
O -0.048 1.616 6.189
O -1.473 4.250 6.189
O 1.376 0.849 1.112
O 1.521 4.167 6.189
O 4.369 0.767 1.112
O 2.944 3.401 1.112

---

Record 4
7
Lattice="0.000 4.218 4.218 4.218 0.000 4.218 4.218 4.218 0.000" Properties=species:S:1:pos:R:3 comment="BaLiWO4 PBE with a Hubbard U optimized geometry" density_g_cm3=4.3 spacegroup=F-43m total_energy_ev_per_atom=-6.37 pbc="T T T"
Ba 0.000 0.000 0.000
Li 6.327 6.327 6.327
W 4.218 4.218 4.218
O 5.265 3.170 3.170
O 3.170 5.265 3.170
O 3.170 3.170 5.265
O 5.265 5.265 5.265

---

Record 5
10
Lattice="0.000 4.197 4.197 4.197 0.000 4.197 4.197 4.197 0.000" Properties=species:S:1:pos:R:3 comment="BaLiYWO6 PBE with a Hubbard U optimized geometry" density_g_cm3=5.8 spacegroup=F-43m total_energy_ev_per_atom=-7.31 pbc="T T T"
Ba 0.000 0.000 0.000
Li 4.197 4.197 4.197
Y 2.098 2.098 2.098
W 6.295 6.295 6.295
O 6.295 6.295 4.342
O 6.295 4.342 6.295
O 8.249 6.295 6.295
O 4.342 6.295 6.295
O 6.295 8.249 6.295
O 6.295 6.295 8.249

---

Record 6
48
Lattice="5.121 0.000 0.000 2.232 6.466 0.000 2.107 -0.083 19.824" Properties=species:S:1:pos:R:3 comment="Ba2Li3Y3W8O32 PBE with a Hubbard U optimized geometry" density_g_cm3=6.4 spacegroup=P1 total_energy_ev_per_atom=-7.49 pbc="T T T"
Ba 0.000 0.000 0.000
Ba 3.462 5.451 9.236
Li 3.642 1.745 9.477
Li 6.983 3.566 19.646
Li 5.097 1.149 3.562
Y 3.902 4.081 13.947
Y 3.025 4.048 5.261
Y 6.735 1.274 15.136
W 2.584 2.857 1.850
W 4.257 2.666 17.373
W 3.343 0.582 6.484
W 4.167 0.208 12.580
W 6.475 5.147 16.509
W 5.250 4.917 2.664
W 6.386 2.701 11.700
W 5.928 2.530 7.532
O 2.337 2.498 13.223
O 2.397 3.237 10.444
O 3.145 2.134 18.646
O 3.169 2.862 15.857
O 1.478 1.468 2.129
O 2.118 1.379 8.282
O 2.078 1.808 5.748
O 3.174 0.148 16.543
O 5.023 6.177 13.761
O 4.991 4.262 17.907
O 4.204 5.479 4.041
O 4.530 5.575 6.774
O 3.232 0.385 11.046
O 3.898 4.774 1.325
O 5.036 3.894 11.984
O 3.940 2.892 3.209
O 3.517 2.257 0.389
O 5.712 3.759 15.443
O 4.915 1.595 13.652
O 5.038 3.155 9.002
O 4.555 2.611 6.220
O 5.607 1.469 17.108
O 4.639 0.675 7.913
O 6.134 6.443 2.312
O 7.420 4.969 18.035
O 6.680 6.432 5.193
O 5.664 1.091 11.189
O 7.845 5.646 15.322
O 7.467 5.209 12.549
O 6.975 4.025 7.252
O 6.391 4.029 1.034
O 6.640 3.899 3.541